A plane-wave DFT calculation with GGA+U was carried out for a relaxed Ba2CeCrO6 crystal.

Crystal system: cubic
Raw total energy: -73.27 eV/cell
Volume: 150 Å³/cell
Symmetry: Fm-3m

a b c (Å): 5.9601 5.9601 5.9601
angles (deg): 60.00 60.00 60.00
Element x y z (fractional)
Ba (0.2500, 0.2500, 0.2500)
Ba (0.7500, 0.7500, 0.7500)
Ce (0.0000, 0.0000, 0.0000)
Cr (0.5000, 0.5000, 0.5000)
O (0.2656, 0.2656, 0.7344)
O (0.2656, 0.7344, 0.2656)
O (0.2656, 0.7344, 0.7344)
O (0.7344, 0.2656, 0.2656)
O (0.7344, 0.2656, 0.7344)
O (0.7344, 0.7344, 0.2656)